[1]
! DyHo5Th3 PBE relaxed; values from VASP
! E = -4.972 eV per atom
! ΔH_f (0 K) = 5.0 eV per formula unit
! Space-group type = No. 12
&SYSTEM
  ibrav = 0, nat = 18, ntyp = 3
/
ATOMIC_SPECIES
Dy 162.50 Dy.upf
Ho 164.93 Ho.upf
Th 232.04 Th.upf
ATOMIC_POSITIONS angstrom
Dy 3.117 2.354 8.501
Ho 8.317 3.141 1.623
Ho 5.298 7.139 1.623
Ho 4.856 3.667 11.211
Th 1.187 0.896 5.955
Th 3.662 2.765 4.995
Dy 9.157 6.915 1.730
Ho 4.101 4.862 -0.839
Ho 7.418 5.601 -0.980
Th 8.031 6.064 8.284
Ho 6.977 2.129 8.608
Th 8.613 6.503 5.236
Ho 5.866 4.429 6.662
Th 0.000 0.000 0.000
Ho 3.958 6.128 8.608
Th 4.244 3.205 1.947
Ho 6.409 4.839 3.569
Ho 5.799 2.614 -0.839
CELL_PARAMETERS angstrom
7.422 0.464 -0.839
2.478 7.011 -0.839
2.374 1.793 11.909


[2]
! SrLiTa PBE relaxed; values from VASP
! E = -4.540 eV per atom
! Excess energy over the best structure of this formula in the dataset = 0.236 eV/atom
! ΔH_f (0 K) = 1.8 eV per formula unit
! Space-group type = No. 8
&SYSTEM
  ibrav = 0, nat = 6, ntyp = 3
/
ATOMIC_SPECIES
Sr 87.62 Sr.upf
Li 6.94 Li.upf
Ta 180.95 Ta.upf
ATOMIC_POSITIONS angstrom
Sr -7.813 -1.224 -2.278
Li 2.712 -1.894 -0.199
Ta -5.864 -3.326 -0.013
Li -3.340 -1.857 -1.063
Ta -15.586 -2.508 -2.123
Sr -10.893 -3.127 -0.891
CELL_PARAMETERS angstrom
-16.783 -2.472 0.048
-7.633 -0.303 -3.129
7.971 -2.041 0.662


[3]
! CeNpPb PBE relaxed; values from VASP
! E = -7.593 eV per atom
! ΔH_f (0 K) = -0.2 eV per formula unit
! Space-group type = No. 12
&SYSTEM
  ibrav = 0, nat = 6, ntyp = 3
/
ATOMIC_SPECIES
Np 237.00 Np.upf
Ce 140.12 Ce.upf
Pb 207.20 Pb.upf
ATOMIC_POSITIONS angstrom
Np 0.000 4.086 5.516
Ce 1.729 3.704 2.480
Np 1.729 2.609 4.833
Pb 1.729 5.832 7.964
Ce 0.000 2.990 7.868
Pb 0.000 0.862 2.384
CELL_PARAMETERS angstrom
3.459 0.000 0.000
-1.729 5.745 1.714
0.000 0.949 8.634